Crystalline RbCd8Pt4 at its relaxed geometry. Source: the Alexandria database, functional PBE.

Properties
Its total energy is -71.8 eV/cell. The value obtained for the formation energy is -3.4 eV per formula unit.

Structure (CIF):
```
data_RbCd8Pt4
_chemical_formula_sum 'Rb2 Cd16 Pt8'
_cell_length_a 9.732
_cell_length_b 9.732
_cell_length_c 5.775
_cell_angle_alpha 90.00
_cell_angle_beta 90.00
_cell_angle_gamma 90.00
_symmetry_space_group_name_H-M 'I 4/m m m'
_symmetry_Int_Tables_number 139
_symmetry_space_group_name_Hall '-I 4 2'
loop_
_atom_site_label
_atom_site_fract_x
_atom_site_fract_y
_atom_site_fract_z
Rb1 0.000 0.000 0.000
Cd1 0.000 0.225 0.500
Cd2 0.000 0.337 0.000
Pt1 0.250 0.250 0.250
```